# Tb2InCo

An optimized crystal structure of Tb2InCo (PBE, the Alexandria database).

Unit cell a=3.4613 b=3.4613 c=7.6830 alpha=90.00 beta=90.00 gamma=90.00
Atoms (fractional coordinates):
Tb  0.0000  0.0000  0.2134
Tb  0.0000  0.0000  0.7866
In  0.5000  0.5000  0.5000
Co  0.5000  0.5000  0.0000

E_form	-303	meV/atom
calculated volume	23.011	Å³/atom
crystal system	tetragonal